Run 1
## ScWBr (GGA-PBEsol)

Data for ScWBr after structural relaxation.

The structure in POSCAR format:
```
ScWBr
1.0
3.5645 0.0000 0.0000
0.0000 4.7551 0.0000
0.0000 0.0000 14.5237
Sc W Br
4 4 4
Direct
0.0000 0.0000 0.0000
0.0000 0.5000 0.5000
0.5000 0.0000 0.5000
0.5000 0.5000 0.0000
0.0000 0.0000 0.3566
0.0000 0.5000 0.8566
0.5000 0.0000 0.8566
0.5000 0.5000 0.3566
0.0000 0.0000 0.6350
0.0000 0.5000 0.1350
0.5000 0.0000 0.1350
0.5000 0.5000 0.6350
```

Run 2
## ScWBr (GGA-PBEsol)

Data for ScWBr after structural relaxation.

The structure in POSCAR format:
```
ScWBr
1.0
2.9683 0.0000 0.0000
0.0000 2.9683 0.0000
0.0000 0.0000 14.4019
Sc W Br
2 2 2
Direct
0.0000 0.0000 0.0000
0.5000 0.5000 0.5000
0.0000 0.0000 0.6411
0.5000 0.5000 0.1411
0.0000 0.0000 0.3717
0.5000 0.5000 0.8717
```

Out of the structures above, which one is the most stable? Solution: run 1.